VASP calculation (GGA-PBE) on an optimized crystal structure of Pa2Be4PdPt3.

Structure (POSCAR):
```
Pa2Be4PdPt3
1.0
4.002 0.000 0.000
0.000 4.002 0.000
0.000 0.000 9.599
Pa Be Pt Pd
2 4 3 1
Direct
0.000 0.500 0.758
0.500 0.000 0.242
0.000 0.000 0.000
0.000 0.500 0.373
0.500 0.500 0.000
0.500 0.000 0.627
0.000 0.500 0.130
0.500 0.000 0.870
0.000 0.000 0.500
0.500 0.500 0.500
```

E_form in eV per atom: -0.694

=====

VASP calculation (GGA-PBE) on an optimized crystal structure of ZrSc3Ga2.

Structure (POSCAR):
```
ZrSc3Ga2
1.0
-4.377 1.642 1.437
-2.677 -5.907 -1.405
4.966 -0.195 7.027
Ga Zr Sc
4 2 6
Direct
0.347 0.347 0.695
0.653 0.653 0.305
0.652 0.153 0.305
0.348 0.847 0.695
0.000 0.500 0.000
0.000 0.000 0.000
0.500 0.250 0.000
0.821 0.071 0.642
0.821 0.571 0.642
0.179 0.929 0.358
0.500 0.750 0.000
0.179 0.429 0.358
```

E_form in eV per atom: -0.383